1.
AlF3 | meta-GGA SCAN | single point on PBEsol structure

Cell lengths 10.2299, 10.2299, 7.2040 Å; angles 90.00, 90.00, 90.00 degrees
Space group P4/nmm (No. 129, origin choice 2)
Inequivalent atoms, fractional coordinates:
Al 0.0000 0.0000 0.0000 (multiplicity 4)
Al 0.0865 0.7500 0.3287 (multiplicity 8)
Al 0.2500 0.2500 0.0907 (multiplicity 2)
Al 0.2500 0.2500 0.5878 (multiplicity 2)
F 0.0517 0.6224 0.1626 (multiplicity 16)
F 0.0763 0.2500 0.5886 (multiplicity 8)
F 0.1213 0.1213 0.0914 (multiplicity 8)
F 0.1264 0.6264 0.5000 (multiplicity 8)
F 0.2500 0.2500 0.3377 (multiplicity 2)
F 0.2500 0.2500 0.8417 (multiplicity 2)
F 0.2500 0.7500 0.2441 (multiplicity 4)

Results
N(E_F) in states/eV/atom: 0.000
Formation energy (no corrections) in meV per atom: -3817.0
Total magnetic moment in μB/f.u.: 0.00
Energy in eV per atom: -8.4099

=====

2.
ErSbPt | meta-GGA SCAN | single point on PBEsol structure

Cell lengths 6.4838, 6.4838, 6.4838 Å; angles 90.00, 90.00, 90.00 degrees
Space group F-43m (No. 216)
Inequivalent atoms, fractional coordinates:
Er 0.0000 0.0000 0.0000 (multiplicity 4)
Sb 0.0000 0.0000 0.5000 (multiplicity 4)
Pt 0.2500 0.2500 0.7500 (multiplicity 4)

Results
N(E_F) in states/eV/atom: 0.021
Formation energy (no corrections) in meV per atom: -1486.5
Total magnetic moment in μB/f.u.: 0.00
Energy in eV per atom: -54.0845

=====

3.
Y2NbHgSb | meta-GGA SCAN | single point on PBEsol structure

Cell lengths 5.4785, 5.4785, 5.3181 Å; angles 90.00, 90.00, 90.00 degrees
Space group P4/mmm (No. 123)
Inequivalent atoms, fractional coordinates:
Y 0.0000 0.5000 0.0000 (multiplicity 2)
Nb 0.0000 0.0000 0.5000 (multiplicity 1)
Hg 0.5000 0.5000 0.0000 (multiplicity 1)
Sb 0.5000 0.5000 0.5000 (multiplicity 1)

Results
N(E_F) in states/eV/atom: 0.816
Formation energy (no corrections) in meV per atom: 699.2
Total magnetic moment in μB/f.u.: 4.57
Energy in eV per atom: -38.1492

=====

4.
FeIr2Cl | meta-GGA SCAN | single point on PBEsol structure

Cell lengths 6.0606, 6.0606, 6.0606 Å; angles 90.00, 90.00, 90.00 degrees
Space group Fm-3m (No. 225)
Inequivalent atoms, fractional coordinates:
Fe 0.0000 0.0000 0.0000 (multiplicity 4)
Ir 0.2500 0.2500 0.2500 (multiplicity 8)
Cl 0.0000 0.0000 0.5000 (multiplicity 4)

Results
Energy above the most stable polymorph in this dataset in meV per atom: 406
N(E_F) in states/eV/atom: 0.777
Formation energy (no corrections) in meV per atom: 996.2
Total magnetic moment in μB/f.u.: 4.73
Energy in eV per atom: -41.0802

=====

5.
LiTlFe2Bi | meta-GGA SCAN | single point on PBEsol structure

Cell lengths 4.9233, 4.9233, 4.9884 Å; angles 90.00, 90.00, 90.00 degrees
Space group P4/mmm (No. 123)
Inequivalent atoms, fractional coordinates:
Li 0.0000 0.0000 0.0000 (multiplicity 1)
Tl 0.5000 0.5000 0.0000 (multiplicity 1)
Fe 0.0000 0.5000 0.5000 (multiplicity 2)
Bi 0.0000 0.0000 0.5000 (multiplicity 1)

Results
Energy relative to the elements in eV per atom: 0.80
N(E_F) in states/eV/atom: 0.593
Total magnetic moment in μB/f.u.: 5.44
Energy in eV per atom: -37.1157

=====

6.
LiLaRh4 | meta-GGA SCAN | single point on PBEsol structure

Cell lengths 7.4047, 7.4047, 7.4047 Å; angles 90.00, 90.00, 90.00 degrees
Space group F-43m (No. 216)
Inequivalent atoms, fractional coordinates:
Li 0.0000 0.0000 0.0000 (multiplicity 4)
La 0.2500 0.2500 0.7500 (multiplicity 4)
Rh 0.1255 0.1255 0.3745 (multiplicity 16)

Results
Energy relative to the elements in eV per atom: -0.40
N(E_F) in states/eV/atom: 1.138
Total magnetic moment in μB/f.u.: 0.00
Energy in eV per atom: -30.5003

=====

7.
LaCo2N | meta-GGA SCAN | single point on PBEsol structure

Cell lengths 4.3889, 4.3889, 12.1818 Å; angles 90.00, 90.00, 90.00 degrees
Space group I-42d (No. 122)
Inequivalent atoms, fractional coordinates:
La 0.0000 0.0000 0.0000 (multiplicity 4)
Co 0.0447 0.2500 0.6250 (multiplicity 8)
N 0.0000 0.0000 0.5000 (multiplicity 4)

Results
N(E_F) in states/eV/atom: 0.662
Formation energy (no corrections) in meV per atom: -91.3
Total magnetic moment in μB/f.u.: 0.00
Energy in eV per atom: -21.8425

=====

8.
CsRb2SiTe | meta-GGA SCAN | single point on PBEsol structure

Cell lengths 6.8126, 6.8126, 7.2253 Å; angles 90.00, 90.00, 90.00 degrees
Space group P4/mmm (No. 123)
Inequivalent atoms, fractional coordinates:
Cs 0.0000 0.0000 0.0000 (multiplicity 1)
Rb 0.0000 0.5000 0.5000 (multiplicity 2)
Si 0.5000 0.5000 0.0000 (multiplicity 1)
Te 0.0000 0.0000 0.5000 (multiplicity 1)

Results
Formation energy (no corrections) in meV per atom: -131.6
Total magnetic moment in μB/f.u.: 2.97
Energy in eV per atom: -25.4427